(1)
Entry from the Alexandria database: crystalline TbSmPbAu at its relaxed geometry (PBE-GGA).

Cell: 5.3217 5.3217 5.3217 Å, 60.00 60.00 60.00°
Each line ends with the local moment (μB).
Atoms (fractional coordinates):
1 Tb 0.7500 0.7500 0.7500  0.27
2 Au 0.0000 0.0000 0.0000  0.04
3 Sm 0.2500 0.2500 0.2500  0.22
4 Pb 0.5000 0.5000 0.5000  -0.02

Summary:
- E: -4.697 eV/atom
- Magnetization: 0.21 μB per atom
- ΔE_f: -0.6129 eV/atom
- Space-group type: F-43m, No. 216

***

(2)
Entry from the Alexandria database: crystalline SmThPbAu at its relaxed geometry (PBE-GGA).

Cell: 5.3936 5.3936 5.3936 Å, 60.00 60.00 60.00°
Atoms (fractional coordinates):
1 Au 0.0000 0.0000 0.0000
2 Pb 0.5000 0.5000 0.5000
3 Th 0.7500 0.7500 0.7500
4 Sm 0.2500 0.2500 0.2500

Summary:
- E: -5.235 eV/atom
- Magnetization: 0.00 μB per atom
- ΔE_f: -0.4538 eV/atom
- Space-group type: F-43m, No. 216

***

(3)
Entry from the Alexandria database: crystalline SmTlPbAu at its relaxed geometry (PBE-GGA).

Cell: 5.3000 5.3000 5.3000 Å, 60.00 60.00 60.00°
Atoms (fractional coordinates):
1 Au 0.0000 0.0000 0.0000
2 Tl 0.5000 0.5000 0.5000
3 Pb 0.2500 0.2500 0.2500
4 Sm 0.7500 0.7500 0.7500

Summary:
- E: -3.836 eV/atom
- Magnetization: 0.00 μB per atom
- ΔE_f: -0.3185 eV/atom
- Space-group type: F-43m, No. 216

***

(4)
Entry from the Alexandria database: crystalline SmZnPbAu at its relaxed geometry (PBE-GGA).

Cell: 5.0889 5.0889 5.0889 Å, 60.00 60.00 60.00°
Atoms (fractional coordinates):
1 Zn 0.5000 0.5000 0.5000
2 Pb 0.7500 0.7500 0.7500
3 Au 0.0000 0.0000 0.0000
4 Sm 0.2500 0.2500 0.2500

Summary:
- E: -3.659 eV/atom
- Magnetization: 0.00 μB per atom
- ΔE_f: -0.4138 eV/atom
- Space-group type: F-43m, No. 216

***

(5)
Entry from the Alexandria database: crystalline SmZrPbAu at its relaxed geometry (PBE-GGA).

Cell: 5.1713 5.1713 5.1713 Å, 60.00 60.00 60.00°
Atoms (fractional coordinates):
1 Au 0.0000 0.0000 0.0000
2 Zr 0.7500 0.7500 0.7500
3 Pb 0.5000 0.5000 0.5000
4 Sm 0.2500 0.2500 0.2500

Summary:
- E: -5.436 eV/atom
- Magnetization: 0.00 μB per atom
- ΔE_f: -0.3726 eV/atom
- Space-group type: F-43m, No. 216

***

(6)
Entry from the Alexandria database: crystalline Sn8PbAu6 at its relaxed geometry (PBE-GGA).

Cell: 6.7375 8.1500 8.1497 Å, 120.00 90.00 90.00°
Atoms (fractional coordinates):
1 Sn 0.4999 0.3333 0.6667
2 Sn 0.5001 0.6667 0.3333
3 Sn 0.1708 0.3291 0.3288
4 Sn 0.8292 0.0004 0.3291
5 Sn 0.8292 0.6709 0.6712
6 Sn 0.1708 0.6712 0.0004
7 Sn 0.8292 0.3288 0.9996
8 Sn 0.1708 0.9996 0.6709
9 Pb 0.5000 0.0000 0.0000
10 Au 0.7316 0.9996 0.6588
11 Au 0.2684 0.6588 0.6591
12 Au 0.7315 0.6591 0.0004
13 Au 0.7316 0.3412 0.3409
14 Au 0.2684 0.0004 0.3412
15 Au 0.2685 0.3409 0.9996

Summary:
- E: -3.805 eV/atom
- Magnetization: 0.00 μB per atom
- ΔE_f: -0.1115 eV/atom
- Space-group type: P-31m, No. 162

***

(7)
Entry from the Alexandria database: crystalline Sn3Pb3Au8 at its relaxed geometry (PBE-GGA).

Cell: 4.5759 8.7795 9.4767 Å, 66.82 76.03 74.89°
Atoms (fractional coordinates):
1 Au 0.1308 0.5692 0.1692
2 Au 0.3746 0.0263 0.2245
3 Au 0.5120 0.6641 0.3120
4 Au 0.1243 0.1446 0.6067
5 Au 0.8757 0.8554 0.3933
6 Au 0.4880 0.3359 0.6880
7 Au 0.6254 0.9737 0.7755
8 Au 0.8692 0.4308 0.8308
9 Pb 0.0000 0.0000 0.0000
10 Pb 0.7028 0.2168 0.3776
11 Pb 0.2972 0.7832 0.6224
12 Sn 0.3244 0.3414 0.0099
13 Sn 0.6756 0.6586 0.9901
14 Sn 0.0000 0.5000 0.5000

Summary:
- E: -3.618 eV/atom
- Magnetization: 0.00 μB per atom
- ΔE_f: -0.0929 eV/atom
- Space-group type: C2/m, No. 12

***

(8)
Entry from the Alexandria database: crystalline Sn2Pb2Au at its relaxed geometry (PBE-GGA).

Cell: 4.1571 4.1571 9.0434 Å, 76.71 76.71 90.00°
Atoms (fractional coordinates):
1 Sn 0.7500 0.2500 0.5000
2 Sn 0.2500 0.7500 0.5000
3 Au 0.0000 0.0000 0.0000
4 Pb 0.5939 0.5939 0.8122
5 Pb 0.4061 0.4061 0.1878

Summary:
- E: -3.595 eV/atom
- E above lowest polymorph: 191 meV/atom
- Magnetization: 0.00 μB per atom
- ΔE_f: 0.1452 eV/atom
- Space-group type: I4/mmm, No. 139

***

(9)
Entry from the Alexandria database: crystalline SnPbAu2 at its relaxed geometry (PBE-GGA).

Cell: 3.9811 3.9811 7.7385 Å, 75.09 75.09 60.00°
Atoms (fractional coordinates):
1 Au 0.0777 0.0777 0.7669
2 Au 0.2561 0.2561 0.2318
3 Pb 0.4985 0.4985 0.5045
4 Sn 0.6677 0.6677 0.9968

Summary:
- E: -3.636 eV/atom
- Magnetization: 0.00 μB per atom
- ΔE_f: -0.0696 eV/atom
- Space-group type: R3m, No. 160

***

(10)
Entry from the Alexandria database: crystalline Sn3PbAu at its relaxed geometry (PBE-GGA).

Cell: 5.0436 8.1105 8.5118 Å, 109.43 90.00 108.12°
Atoms (fractional coordinates):
1 Sn 0.6874 0.3747 0.8366
2 Sn 0.0635 0.1269 0.1986
3 Sn 0.8929 0.7858 0.4103
4 Sn 0.3126 0.6253 0.1634
5 Sn 0.1071 0.2142 0.5897
6 Sn 0.9365 0.8731 0.8014
7 Pb 0.3275 0.6549 0.5949
8 Pb 0.6725 0.3451 0.4051
9 Au 0.1306 0.2613 0.9392
10 Au 0.8694 0.7387 0.0608

Summary:
- E: -3.747 eV/atom
- E above lowest polymorph: 0 meV/atom
- Magnetization: 0.00 μB per atom
- ΔE_f: 0.0520 eV/atom
- Space-group type: C2/m, No. 12

***

(11)
Entry from the Alexandria database: crystalline Sn4Pb5Au4 at its relaxed geometry (PBE-GGA).

Cell: 4.4052 9.0752 9.0752 Å, 86.62 75.95 75.95°
Atoms (fractional coordinates):
1 Sn 0.5945 0.3012 0.5098
2 Sn 0.8957 0.5098 0.6988
3 Sn 0.4055 0.6988 0.4902
4 Sn 0.1043 0.4902 0.3012
5 Pb 0.6264 0.6847 0.0625
6 Pb 0.0000 0.0000 0.0000
7 Pb 0.3736 0.3153 0.9375
8 Pb 0.6889 0.9375 0.6847
9 Pb 0.3111 0.0625 0.3153
10 Au 0.7543 0.3145 0.1770
11 Au 0.9312 0.8230 0.3145
12 Au 0.0688 0.1770 0.6855
13 Au 0.2457 0.6855 0.8230

Summary:
- E: -3.730 eV/atom
- Magnetization: 0.00 μB per atom
- ΔE_f: -0.0634 eV/atom
- Space-group type: I4/m, No. 87

***

(12)
Entry from the Alexandria database: crystalline Sn2PbAu at its relaxed geometry (PBE-GGA).

Cell: 3.7262 3.7262 7.4682 Å, 90.00 90.00 90.00°
Atoms (fractional coordinates):
1 Sn 0.0000 0.0000 0.7921
2 Sn 0.0000 0.0000 0.2079
3 Au 0.5000 0.5000 0.0000
4 Pb 0.5000 0.5000 0.5000

Summary:
- E: -3.773 eV/atom
- Magnetization: 0.00 μB per atom
- ΔE_f: -0.0247 eV/atom
- Space-group type: P4/mmm, No. 123

***

(13)
Entry from the Alexandria database: crystalline Sn2Pb2Au at its relaxed geometry (PBE-GGA).

Cell: 7.2125 7.2125 5.4719 Å, 90.00 90.00 90.00°
Atoms (fractional coordinates):
1 Au 0.5000 0.5000 0.0000
2 Au 0.0000 0.0000 0.0000
3 Pb 0.1775 0.6775 0.5000
4 Pb 0.8225 0.3225 0.5000
5 Pb 0.6775 0.8225 0.5000
6 Pb 0.3225 0.1775 0.5000
7 Sn 0.3559 0.8559 0.0000
8 Sn 0.6441 0.1441 0.0000
9 Sn 0.8559 0.6441 0.0000
10 Sn 0.1441 0.3559 0.0000

Summary:
- E: -3.737 eV/atom
- E above lowest polymorph: 48 meV/atom
- Magnetization: 0.00 μB per atom
- ΔE_f: 0.0026 eV/atom
- Space-group type: P4/mbm, No. 127